# 1
# Tb2PmCdPd4

Tb2PmCdPd4 after structural relaxation (GGA-PBE, Alexandria via LeMat-Bulk).

Properties
Space-group type: R-3m
E: -5.225 eV per atom
DOS at the Fermi energy: 4.814 states/eV per cell
DFT formation energy: -0.7627 eV per atom

abc: 8.535 8.535 8.535
angles: 33.56 33.56 33.56
Fractional coordinates of all 8 atoms:
Tb1 0.243 0.243 0.243
Tb2 0.757 0.757 0.757
Pm1 0.000 0.000 0.000
Cd1 0.500 0.500 0.500
Pd1 0.122 0.122 0.122
Pd2 0.375 0.375 0.375
Pd3 0.625 0.625 0.625
Pd4 0.878 0.878 0.878


# 2
# Pm4Tl2CdPd

Pm4Tl2CdPd after structural relaxation (GGA-PBE, Alexandria via LeMat-Bulk).

Properties
Space-group type: R-3m
E: -4.175 eV per atom
DOS at the Fermi energy: 6.381 states/eV per cell
DFT formation energy: -0.4442 eV per atom

abc: 9.265 9.265 9.265
angles: 33.86 33.86 33.86
Fractional coordinates of all 8 atoms:
Pm1 0.116 0.116 0.116
Pm2 0.368 0.368 0.368
Pm3 0.632 0.632 0.632
Pm4 0.884 0.884 0.884
Tl1 0.242 0.242 0.242
Tl2 0.758 0.758 0.758
Cd1 0.500 0.500 0.500
Pd1 0.000 0.000 0.000


# 3
# PmTlCdPd

PmTlCdPd after structural relaxation (GGA-PBE, Alexandria via LeMat-Bulk).

Properties
Space-group type: F-43m
E: -3.726 eV per atom
DOS at the Fermi energy: 0.992 states/eV per cell
DFT formation energy: -0.4195 eV per atom

abc: 5.069 5.069 5.069
angles: 60.00 60.00 60.00
Fractional coordinates of all 4 atoms:
Pm1 0.000 0.000 0.000
Tl1 0.750 0.750 0.750
Cd1 0.500 0.500 0.500
Pd1 0.250 0.250 0.250


# 4
# PmTmCd2Pd4

PmTmCd2Pd4 after structural relaxation (GGA-PBE, Alexandria via LeMat-Bulk).

Properties
Space-group type: R-3m
E: -4.685 eV per atom
DOS at the Fermi energy: 3.914 states/eV per cell
DFT formation energy: -0.7072 eV per atom

abc: 8.390 8.390 8.390
angles: 33.26 33.26 33.26
Fractional coordinates of all 8 atoms:
Pm1 0.000 0.000 0.000
Tm1 0.500 0.500 0.500
Cd1 0.249 0.249 0.249
Cd2 0.751 0.751 0.751
Pd1 0.127 0.127 0.127
Pd2 0.379 0.379 0.379
Pd3 0.621 0.621 0.621
Pd4 0.873 0.873 0.873


# 5
# PmYCdPd

PmYCdPd after structural relaxation (GGA-PBE, Alexandria via LeMat-Bulk).

Properties
Space-group type: F-43m
E: -4.850 eV per atom
DOS at the Fermi energy: 2.797 states/eV per cell
DFT formation energy: -0.5198 eV per atom

abc: 5.197 5.197 5.197
angles: 60.00 60.00 60.00
Fractional coordinates of all 4 atoms:
Pm1 0.000 0.000 0.000
Y1 0.500 0.500 0.500
Cd1 0.250 0.250 0.250
Pd1 0.750 0.750 0.750


# 6
# Pm2ZnCd2Pd5

Pm2ZnCd2Pd5 after structural relaxation (GGA-PBE, Alexandria via LeMat-Bulk).

Properties
Space-group type: P4/mbm
E: -4.317 eV per atom
DOS at the Fermi energy: 11.059 states/eV per cell
DFT formation energy: -0.4598 eV per atom

abc: 10.465 10.465 3.621
angles: 90.00 90.00 90.00
Fractional coordinates of all 20 atoms:
Pm1 0.168 0.332 0.000
Pm2 0.332 0.832 0.000
Pm3 0.668 0.168 0.000
Pm4 0.832 0.668 0.000
Zn1 0.000 0.000 0.000
Zn2 0.500 0.500 0.000
Cd1 0.134 0.634 0.000
Cd2 0.366 0.134 0.000
Cd3 0.634 0.866 0.000
Cd4 0.866 0.366 0.000
Pd1 0.000 0.500 0.500
Pd2 0.038 0.809 0.500
Pd3 0.191 0.038 0.500
Pd4 0.309 0.538 0.500
Pd5 0.462 0.309 0.500
Pd6 0.500 0.000 0.500
Pd7 0.538 0.691 0.500
Pd8 0.691 0.462 0.500
Pd9 0.809 0.962 0.500
Pd10 0.962 0.191 0.500


Copy entry 6 word for word.
# Pm2ZnCd2Pd5

Pm2ZnCd2Pd5 after structural relaxation (GGA-PBE, Alexandria via LeMat-Bulk).

Properties
Space-group type: P4/mbm
E: -4.317 eV per atom
DOS at the Fermi energy: 11.059 states/eV per cell
DFT formation energy: -0.4598 eV per atom

abc: 10.465 10.465 3.621
angles: 90.00 90.00 90.00
Fractional coordinates of all 20 atoms:
Pm1 0.168 0.332 0.000
Pm2 0.332 0.832 0.000
Pm3 0.668 0.168 0.000
Pm4 0.832 0.668 0.000
Zn1 0.000 0.000 0.000
Zn2 0.500 0.500 0.000
Cd1 0.134 0.634 0.000
Cd2 0.366 0.134 0.000
Cd3 0.634 0.866 0.000
Cd4 0.866 0.366 0.000
Pd1 0.000 0.500 0.500
Pd2 0.038 0.809 0.500
Pd3 0.191 0.038 0.500
Pd4 0.309 0.538 0.500
Pd5 0.462 0.309 0.500
Pd6 0.500 0.000 0.500
Pd7 0.538 0.691 0.500
Pd8 0.691 0.462 0.500
Pd9 0.809 0.962 0.500
Pd10 0.962 0.191 0.500